# 1
This record from Alexandria via LeMat-Bulk describes crystalline Tm5Ru4Pt at its relaxed geometry. The functional is PBE-GGA.

Calculated values
formation enthalpy at 0 K = -6.3 eV per formula unit
VASP energy = -7.18 eV/atom

Structure (CIF):
```
data_Tm5Ru4Pt
_chemical_formula_sum 'Tm5 Ru4 Pt1'
_cell_length_a 3.388
_cell_length_b 3.388
_cell_length_c 16.678
_cell_angle_alpha 90.00
_cell_angle_beta 90.00
_cell_angle_gamma 90.00
_space_group_name_H-M_alt 'P 4/m m m'
_space_group_IT_number 123
_space_group_name_Hall '-P 4 2'
loop_
_atom_site_label
_atom_site_type_symbol
_atom_site_fract_x
_atom_site_fract_y
_atom_site_fract_z
Tm1 Tm 0.000 0.000 0.000
Tm2 Tm 0.000 0.000 0.199
Tm3 Tm 0.000 0.000 0.397
Ru1 Ru 0.500 0.500 0.100
Ru2 Ru 0.500 0.500 0.301
Pt1 Pt 0.500 0.500 0.500
```

***

# 2
This record from Alexandria via LeMat-Bulk describes crystalline LiDy4Ga12 at its relaxed geometry. The functional is PBE-GGA.

Calculated values
formation enthalpy at 0 K = -9.0 eV per formula unit
VASP energy = -3.86 eV/atom

Structure (CIF):
```
data_LiDy4Ga12
_chemical_formula_sum 'Li2 Dy8 Ga24'
_cell_length_a 8.657
_cell_length_b 8.657
_cell_length_c 8.657
_cell_angle_alpha 90.00
_cell_angle_beta 90.00
_cell_angle_gamma 90.00
_space_group_name_H-M_alt 'I m -3 m'
_space_group_IT_number 229
_space_group_name_Hall '-I 4 2 3'
loop_
_atom_site_label
_atom_site_type_symbol
_atom_site_fract_x
_atom_site_fract_y
_atom_site_fract_z
Li1 Li 0.000 0.000 0.000
Dy1 Dy 0.250 0.250 0.250
Ga1 Ga 0.000 0.000 0.295
Ga2 Ga 0.000 0.250 0.500
```

***

# 3
This record from Alexandria via LeMat-Bulk describes crystalline Sb4S5Br2 at its relaxed geometry. The functional is PBE-GGA.

Calculated values
formation energy without anion corrections = -237 meV per atom
VASP energy = -3.92 eV/atom

Structure (CIF):
```
data_Sb4S5Br2
_chemical_formula_sum 'Sb8 S10 Br4'
_cell_length_a 25.497
_cell_length_b 3.992
_cell_length_c 7.518
_cell_angle_alpha 90.00
_cell_angle_beta 106.98
_cell_angle_gamma 90.00
_space_group_name_H-M_alt 'C 1 2/m 1'
_space_group_IT_number 12
loop_
_space_group_symop_operation_xyz
'x,y,z'
'-x,-y,-z'
'-x,y,-z'
'x,-y,z'
'x+1/2,y+1/2,z'
'-x+1/2,-y+1/2,-z'
'-x+1/2,y+1/2,-z'
'x+1/2,-y+1/2,z'
loop_
_atom_site_label
_atom_site_type_symbol
_atom_site_fract_x
_atom_site_fract_y
_atom_site_fract_z
Sb1 Sb 0.043 0.000 0.330
Sb2 Sb 0.186 0.500 0.386
S1 S 0.000 0.500 0.500
S2 S 0.134 0.000 0.549
S3 S 0.247 0.000 0.300
Br1 Br 0.083 0.000 0.033
```

***

# 4
This record from Alexandria via LeMat-Bulk describes crystalline AlRe2Tc at its relaxed geometry. The functional is PBE-GGA.

Calculated values
formation enthalpy at 0 K = 2.9 eV per formula unit
VASP energy = -9.02 eV/atom

Structure (CIF):
```
data_AlRe2Tc
_chemical_formula_sum 'Al4 Re8 Tc4'
_cell_length_a 7.162
_cell_length_b 7.162
_cell_length_c 5.167
_cell_angle_alpha 90.00
_cell_angle_beta 90.00
_cell_angle_gamma 90.00
_space_group_name_H-M_alt 'I -4 2 d'
_space_group_IT_number 122
_space_group_name_Hall 'I -4 2bw'
loop_
_atom_site_label
_atom_site_type_symbol
_atom_site_fract_x
_atom_site_fract_y
_atom_site_fract_z
Al1 Al 0.000 0.000 0.000
Re1 Re 0.223 0.250 0.625
Tc1 Tc 0.000 0.000 0.500
```

***

# 5
This record from Alexandria via LeMat-Bulk describes crystalline BeSn3Pd at its relaxed geometry. The functional is PBE-GGA.

Calculated values
formation enthalpy at 0 K = 1.9 eV per formula unit
VASP energy = -3.81 eV/atom

Structure (CIF):
```
data_BeSn3Pd
_chemical_formula_sum 'Be1 Sn3 Pd1'
_cell_length_a 4.837
_cell_length_b 4.837
_cell_length_c 4.837
_cell_angle_alpha 90.00
_cell_angle_beta 90.00
_cell_angle_gamma 90.00
_space_group_name_H-M_alt 'P m -3 m'
_space_group_IT_number 221
_space_group_name_Hall '-P 4 2 3'
loop_
_atom_site_label
_atom_site_type_symbol
_atom_site_fract_x
_atom_site_fract_y
_atom_site_fract_z
Be1 Be 0.000 0.000 0.000
Sn1 Sn 0.000 0.000 0.500
Pd1 Pd 0.500 0.500 0.500
```

***

# 6
This record from Alexandria via LeMat-Bulk describes crystalline LiZn2Pd5 at its relaxed geometry. The functional is PBE-GGA.

Calculated values
formation enthalpy at 0 K = -3.0 eV per formula unit
VASP energy = -4.18 eV/atom

Structure (CIF):
```
data_LiZn2Pd5
_chemical_formula_sum 'Li4 Zn8 Pd20'
_cell_length_a 6.776
_cell_length_b 6.776
_cell_length_c 10.408
_cell_angle_alpha 90.00
_cell_angle_beta 90.00
_cell_angle_gamma 90.00
_space_group_name_H-M_alt 'I 4/m c m'
_space_group_IT_number 140
_space_group_name_Hall '-I 4 2c'
loop_
_atom_site_label
_atom_site_type_symbol
_atom_site_fract_x
_atom_site_fract_y
_atom_site_fract_z
Li1 Li 0.000 0.000 0.250
Zn1 Zn 0.146 0.354 0.000
Pd1 Pd 0.000 0.000 0.000
Pd2 Pd 0.150 0.350 0.344
```

***

# 7
This record from Alexandria via LeMat-Bulk describes crystalline SrCa2TbHg4 at its relaxed geometry. The functional is PBE-GGA.

Calculated values
formation enthalpy at 0 K = -4.2 eV per formula unit
VASP energy = -1.97 eV/atom

Structure (CIF):
```
data_SrCa2TbHg4
_chemical_formula_sum 'Sr3 Ca6 Tb3 Hg12'
_cell_length_a 5.3948
_cell_length_b 5.3948
_cell_length_c 26.5946
_cell_angle_alpha 90.00
_cell_angle_beta 90.00
_cell_angle_gamma 120.00
_space_group_name_H-M_alt 'R -3 m'
_space_group_IT_number 166
_space_group_name_Hall '-R 3 2"'
loop_
_atom_site_label
_atom_site_type_symbol
_atom_site_fract_x
_atom_site_fract_y
_atom_site_fract_z
Sr1 Sr 0.0000 0.0000 0.0000
Ca1 Ca 0.0000 0.0000 0.2495
Tb1 Tb 0.0000 0.0000 0.5000
Hg1 Hg 0.0000 0.0000 0.1285
Hg2 Hg 0.0000 0.0000 0.3795
```

***

# 8
This record from Alexandria via LeMat-Bulk describes crystalline Nb2TlCrN at its relaxed geometry. The functional is PBE-GGA.

Calculated values
formation energy without anion corrections = 760 meV per atom
VASP energy = -7.33 eV/atom

Structure (CIF):
```
data_Nb2TlCrN
_chemical_formula_sum 'Nb2 Tl1 Cr1 N1'
_cell_length_a 4.931
_cell_length_b 4.931
_cell_length_c 3.591
_cell_angle_alpha 90.00
_cell_angle_beta 90.00
_cell_angle_gamma 90.00
_space_group_name_H-M_alt 'P 4/m m m'
_space_group_IT_number 123
_space_group_name_Hall '-P 4 2'
loop_
_atom_site_label
_atom_site_type_symbol
_atom_site_fract_x
_atom_site_fract_y
_atom_site_fract_z
Nb1 Nb 0.000 0.500 0.000
Tl1 Tl 0.000 0.000 0.500
Cr1 Cr 0.500 0.500 0.000
N1 N 0.500 0.500 0.500
```

***

# 9
This record from Alexandria via LeMat-Bulk describes crystalline ZrScSiSe2 at its relaxed geometry. The functional is PBE-GGA.

Calculated values
formation energy without anion corrections = 296 meV per atom
VASP energy = -5.16 eV/atom

Structure (CIF):
```
data_ZrScSiSe2
_chemical_formula_sum 'Zr1 Sc1 Si1 Se2'
_cell_length_a 4.881
_cell_length_b 4.881
_cell_length_c 4.881
_cell_angle_alpha 90.00
_cell_angle_beta 90.00
_cell_angle_gamma 90.00
_space_group_name_H-M_alt 'P 4/m m m'
_space_group_IT_number 123
_space_group_name_Hall '-P 4 2'
loop_
_atom_site_label
_atom_site_type_symbol
_atom_site_fract_x
_atom_site_fract_y
_atom_site_fract_z
Zr1 Zr 0.000 0.000 0.000
Sc1 Sc 0.500 0.500 0.000
Si1 Si 0.500 0.500 0.500
Se1 Se 0.000 0.500 0.500
```

***

# 10
This record from Alexandria via LeMat-Bulk describes crystalline Na8VS6 at its relaxed geometry. The functional is PBE-GGA.

Calculated values
formation energy without anion corrections = -970 meV per atom
VASP energy = -3.93 eV/atom

Structure (CIF):
```
data_Na8VS6
_chemical_formula_sum 'Na16 V2 S12'
_cell_length_a 7.942
_cell_length_b 8.157
_cell_length_c 11.260
_cell_angle_alpha 90.00
_cell_angle_beta 90.00
_cell_angle_gamma 90.00
_space_group_name_H-M_alt 'P m n 21'
_space_group_IT_number 31
loop_
_space_group_symop_operation_xyz
'x,y,z'
'-x+1/2,-y,z+1/2'
'-x,y,z'
'x+1/2,-y,z+1/2'
loop_
_atom_site_label
_atom_site_type_symbol
_atom_site_fract_x
_atom_site_fract_y
_atom_site_fract_z
Na1 Na 0.000 0.138 0.000
Na2 Na 0.000 0.228 0.457
Na3 Na 0.181 0.622 0.117
Na4 Na 0.197 0.583 0.809
Na5 Na 0.237 0.950 0.762
V1 V 0.000 0.733 0.468
S1 S 0.000 0.288 0.222
S2 S 0.000 0.511 0.591
S3 S 0.000 0.788 0.945
S4 S 0.000 0.952 0.583
S5 S 0.229 0.739 0.354
```

***

# 11
This record from Alexandria via LeMat-Bulk describes crystalline MnFe3N4 at its relaxed geometry. The functional is PBE-GGA.

Calculated values
formation energy without anion corrections = -165 meV per atom
VASP energy = -8.65 eV/atom

Structure (CIF):
```
data_MnFe3N4
_chemical_formula_sum 'Mn2 Fe6 N8'
_cell_length_a 4.237
_cell_length_b 4.237
_cell_length_c 8.508
_cell_angle_alpha 90.00
_cell_angle_beta 90.00
_cell_angle_gamma 90.00
_space_group_name_H-M_alt 'I -4 2 m'
_space_group_IT_number 121
_space_group_name_Hall 'I -4 2'
loop_
_atom_site_label
_atom_site_type_symbol
_atom_site_fract_x
_atom_site_fract_y
_atom_site_fract_z
Mn1 Mn 0.000 0.000 0.000
Fe1 Fe 0.000 0.000 0.500
Fe2 Fe 0.000 0.500 0.250
N1 N 0.249 0.249 0.875
```

***

# 12
This record from Alexandria via LeMat-Bulk describes crystalline Pm2YSn3 at its relaxed geometry. The functional is PBE-GGA.

Calculated values
formation enthalpy at 0 K = -3.9 eV per formula unit
VASP energy = -5.31 eV/atom

Structure (CIF):
```
data_Pm2YSn3
_chemical_formula_sum 'Pm8 Y4 Sn12'
_cell_length_a 9.287
_cell_length_b 14.415
_cell_length_c 5.843
_cell_angle_alpha 90.00
_cell_angle_beta 116.01
_cell_angle_gamma 90.00
_space_group_name_H-M_alt 'C 1 2/c 1'
_space_group_IT_number 15
loop_
_space_group_symop_operation_xyz
'x,y,z'
'-x,-y,-z'
'-x,y,-z+1/2'
'x,-y,z+1/2'
'x+1/2,y+1/2,z'
'-x+1/2,-y+1/2,-z'
'-x+1/2,y+1/2,-z+1/2'
'x+1/2,-y+1/2,z+1/2'
loop_
_atom_site_label
_atom_site_type_symbol
_atom_site_fract_x
_atom_site_fract_y
_atom_site_fract_z
Pm1 Pm 0.000 0.083 0.250
Pm2 Pm 0.000 0.249 0.750
Y1 Y 0.000 0.416 0.250
Sn1 Sn 0.246 0.418 0.006
Sn2 Sn 0.250 0.250 0.500
```